Below is an optimized crystal structure of AcReO5, with properties calculated at the PBE-GGA level.

As for the energy above the most stable polymorph in this dataset: 46.2 meV per atom. The energy relative to the elements, uncorrected is -212.3 kJ per mole of atoms. The value obtained for the density of states at the Fermi level is 0.24 states/eV/atom. For the total magnetic moment, the calculation gives 0.00 Bohr magnetons per cell.

The space group is P4/nmm (No. 129, origin choice 2) and the conventional cell measures 8.189, 8.189 and 4.578 Å, with angles of 90.00, 90.00 and 90.00 degrees. The distinct sites, in fractional coordinates, are Ac at (0.250, 0.250, 0.235), Re at (0.250, 0.750, 0.500), O at (0.075, 0.750, 0.722) and O at (0.250, 0.250, 0.737).


Below is an optimized crystal structure of AcReO5, with properties calculated at the PBE-GGA level.

As for the energy above the most stable polymorph in this dataset: 0.0 meV per atom. The energy relative to the elements, uncorrected is -216.8 kJ per mole of atoms. For the total magnetic moment, the calculation gives 0.00 Bohr magnetons per cell.

The space group is C2/c (No. 15) and the conventional cell measures 9.456, 6.813 and 7.790 Å, with angles of 90.00, 114.13 and 90.00 degrees. The distinct sites, in fractional coordinates, are Ac at (0.000, 0.053, 0.250), Re at (0.000, 0.500, 0.000), O at (0.000, 0.444, 0.250), O at (0.007, 0.225, 0.966) and O at (0.212, 0.490, 0.607).


Below is an optimized crystal structure of Ac2ReO6, with properties calculated at the PBE-GGA level.

The energy relative to the elements, uncorrected is -255.2 kJ per mole of atoms. The value obtained for the density of states at the Fermi level is 0.52 states/eV/atom. For the total magnetic moment, the calculation gives 2.03 Bohr magnetons per cell.

The space group is P2_1/c (No. 14) and the conventional cell measures 5.751, 6.512 and 9.319 Å, with angles of 90.00, 122.33 and 90.00 degrees. The distinct sites, in fractional coordinates, are Ac at (0.217, 0.090, 0.251), Re at (0.500, 0.000, 0.000), O at (0.163, 0.144, 0.953), O at (0.305, 0.739, 0.932) and O at (0.398, 0.050, 0.770).